Record 1
# SrGaAs

A relaxed structure of SrGaAs (PBE, the Alexandria database).

```
3
Lattice="4.229 0.000 0.000 -2.115 3.663 0.000 0.000 0.000 5.181" Properties=species:S:1:pos:R:3 pbc="T T T"
Sr 0.000 0.000 0.000
Ga 0.000 2.442 2.124
As 2.115 1.221 3.195
```

Computed properties:
As for the space-group type: P3m1, No. 156. The value obtained for the energy of formation is -207 kJ/mol of formula units.

***

Record 2
# Ba2TlRhPb

A relaxed structure of Ba2TlRhPb (PBE, the Alexandria database).

```
5
Lattice="5.930 0.000 0.000 0.000 5.930 0.000 0.000 0.000 5.293" Properties=species:S:1:pos:R:3 pbc="T T T"
Ba 0.000 2.965 0.000
Ba 2.965 0.000 0.000
Tl 0.000 0.000 2.647
Rh 0.000 0.000 0.000
Pb 2.965 2.965 2.647
```

Computed properties:
As for the space-group type: P4/mmm, No. 123. The calculation puts the relative energy among the computed polymorphs at 0.203 eV per formula unit. The value obtained for the energy of formation is -114 kJ/mol of formula units.

***

Record 3
# CeTmInRu

A relaxed structure of CeTmInRu (PBE, the Alexandria database).

```
4
Lattice="3.351 0.000 0.000 0.000 3.351 0.000 0.000 0.000 8.323" Properties=species:S:1:pos:R:3 pbc="T T T"
Ce 0.000 0.000 0.000
Tm 0.000 0.000 4.897
In 1.676 1.676 2.524
Ru 1.676 1.676 6.568
```

Computed properties:
As for the space-group type: P4mm, No. 99. The calculation puts the relative energy among the computed polymorphs at 0.000 eV per formula unit. The value obtained for the energy of formation is -175 kJ/mol of formula units.

***

Record 4
# RbPb8Au2

A relaxed structure of RbPb8Au2 (PBE, the Alexandria database).

```
11
Lattice="4.580 -6.585 0.000 4.580 6.585 0.000 -1.284 0.000 5.879" Properties=species:S:1:pos:R:3 pbc="T T T"
Rb 0.000 0.000 0.000
Pb 1.157 1.748 3.627
Pb 4.580 2.989 0.000
Pb 1.157 -1.748 3.627
Pb 3.351 0.000 1.219
Pb 4.525 0.000 4.660
Pb 6.720 1.748 2.252
Pb 4.580 -2.989 0.000
Pb 6.720 -1.748 2.252
Au 3.938 2.461 2.940
Au 3.938 -2.461 2.940
```

Computed properties:
As for the space-group type: C2/m, No. 12. The calculation puts the relative energy among the computed polymorphs at 0.000 eV per formula unit. The value obtained for the energy of formation is -1 kJ/mol of formula units.

***

Record 5
# ReAgIr2

A relaxed structure of ReAgIr2 (PBE, the Alexandria database).

```
4
Lattice="1.384 0.799 9.264 -1.384 0.799 9.264 0.000 -1.598 9.264" Properties=species:S:1:pos:R:3 pbc="T T T"
Re 0.000 0.000 0.000
Ag 0.000 0.000 6.787
Ir 0.000 0.000 13.639
Ir 0.000 0.000 20.628
```

Computed properties:
As for the space-group type: R3m, No. 160. The calculation puts the relative energy among the computed polymorphs at 0.650 eV per formula unit. The value obtained for the energy of formation is 76 kJ/mol of formula units.

***

Record 6
# SbPb3

A relaxed structure of SbPb3 (PBE, the Alexandria database).

```
4
Lattice="3.543 -5.007 0.000 3.543 5.007 0.000 0.000 0.000 3.478" Properties=species:S:1:pos:R:3 pbc="T T T"
Sb 0.000 0.000 0.000
Pb 1.772 2.504 1.739
Pb 1.772 -2.504 1.739
Pb 3.543 0.000 0.000
```

Computed properties:
As for the space-group type: Cmmm, No. 65.

***

Record 7
# LiHgN

A relaxed structure of LiHgN (PBE, the Alexandria database).

```
6
Lattice="3.969 0.000 0.000 0.003 3.986 0.000 1.980 0.022 6.464" Properties=species:S:1:pos:R:3 pbc="T T T"
Li 0.995 1.008 2.454
Li 4.958 3.000 4.011
Hg 2.969 1.008 5.194
Hg 2.984 3.000 1.270
N 0.999 3.001 1.923
N 4.954 1.007 4.542
```

Computed properties:
As for the space-group type: P-1, No. 2.

***

Record 8
# Pr5Sm2Y

A relaxed structure of Pr5Sm2Y (PBE, the Alexandria database).

```
16
Lattice="6.567 -7.986 0.000 6.567 7.986 0.000 -2.806 0.000 5.467" Properties=species:S:1:pos:R:3 pbc="T T T"
Pr -0.137 2.337 5.140
Pr 4.462 4.692 4.101
Pr 2.808 0.845 3.216
Pr 1.266 -2.337 2.406
Pr 4.211 -0.845 0.483
Pr 6.117 0.845 4.985
Pr 9.062 2.337 3.061
Pr 7.520 -0.845 2.251
Pr 5.865 -4.692 1.367
Pr 10.465 -2.337 0.327
Sm 0.000 0.000 0.000
Sm -1.403 0.000 2.734
Sm 1.881 3.993 2.734
Sm 3.283 -3.993 0.000
Y 5.865 2.454 1.367
Y 4.462 -2.454 4.101
```

Computed properties:
As for the space-group type: C2/c, No. 15. The calculation puts the relative energy among the computed polymorphs at 1.729 eV per formula unit. The value obtained for the energy of formation is 177 kJ/mol of formula units.

***

Record 9
# Ta2NbPd2

A relaxed structure of Ta2NbPd2 (PBE, the Alexandria database).

```
10
Lattice="7.916 0.000 0.000 0.000 7.916 0.000 0.000 0.000 2.784" Properties=species:S:1:pos:R:3 pbc="T T T"
Ta 1.381 2.577 0.000
Ta 2.577 6.535 0.000
Ta 5.339 1.381 0.000
Ta 6.535 5.339 0.000
Nb 0.000 0.000 1.392
Nb 3.958 3.958 1.392
Pd 0.970 4.928 1.392
Pd 2.988 0.970 1.392
Pd 4.928 6.946 1.392
Pd 6.946 2.988 1.392
```

Computed properties:
As for the space-group type: P4/mbm, No. 127. The value obtained for the energy of formation is -35 kJ/mol of formula units.

***

Record 10
# FeNiTe2

A relaxed structure of FeNiTe2 (PBE, the Alexandria database).

```
4
Lattice="-1.902 1.902 5.336 1.902 -1.902 5.336 1.902 1.902 -5.336" Properties=species:S:1:pos:R:3 pbc="T T T"
Fe 0.000 0.000 0.000
Ni 1.902 0.000 2.668
Te 0.000 0.000 5.336
Te 0.000 1.902 2.668
```

Computed properties:
As for the space-group type: I-4m2, No. 119. The calculation puts the relative energy among the computed polymorphs at 2.279 eV per formula unit.

***

Record 11
# Hf5Zn6

A relaxed structure of Hf5Zn6 (PBE, the Alexandria database).

```
11
Lattice="7.155 -3.267 0.000 7.155 3.267 0.000 -1.491 0.000 4.393" Properties=species:S:1:pos:R:3 pbc="T T T"
Hf 0.000 0.000 0.000
Hf 1.272 0.000 2.887
Hf 3.997 0.000 1.368
Hf 8.823 0.000 3.025
Hf 11.548 0.000 1.506
Zn 3.759 1.388 3.738
Zn 6.410 1.342 2.197
Zn 9.061 1.388 0.655
Zn 3.759 -1.388 3.738
Zn 6.410 -1.342 2.197
Zn 9.061 -1.388 0.655
```

Computed properties:
As for the space-group type: C2/m, No. 12. The value obtained for the energy of formation is -58 kJ/mol of formula units.

***

Record 12
# GeAsP

A relaxed structure of GeAsP (PBE, the Alexandria database).

```
6
Lattice="4.861 0.000 0.000 -0.233 5.399 0.000 -2.131 -2.408 5.069" Properties=species:S:1:pos:R:3 pbc="T T T"
Ge 0.000 0.000 0.000
Ge 1.554 4.177 1.320
As 0.667 2.778 3.224
As 3.354 0.848 1.842
P -0.607 -0.910 3.925
P 2.902 2.597 0.144
```

Computed properties:
As for the space-group type: P1, No. 1. The calculation puts the relative energy among the computed polymorphs at 0.389 eV per formula unit. The value obtained for the energy of formation is 37 kJ/mol of formula units.

***

Record 13
# Ca2ScIn

A relaxed structure of Ca2ScIn (PBE, the Alexandria database).

```
4
Lattice="3.517 0.000 0.000 0.000 4.609 0.000 0.000 0.000 7.412" Properties=species:S:1:pos:R:3 pbc="T T T"
Ca 0.000 0.000 0.000
Ca 1.758 2.304 2.292
Sc 1.758 2.304 5.487
In 0.000 0.000 4.105
```

Computed properties:
As for the space-group type: Pmm2, No. 25. The value obtained for the energy of formation is -43 kJ/mol of formula units.

***

Record 14
# HfTiMnOs

A relaxed structure of HfTiMnOs (PBE, the Alexandria database).

```
4
Lattice="0.000 3.133 3.133 3.133 0.000 3.133 3.133 3.133 0.000" Properties=species:S:1:pos:R:3 pbc="T T T"
Hf 0.000 0.000 0.000
Ti 3.133 3.133 3.133
Mn 4.699 4.699 4.699
Os 1.566 1.566 1.566
```

Computed properties:
As for the space-group type: F-43m, No. 216. The value obtained for the energy of formation is -168 kJ/mol of formula units.

***

Record 15
# SrHoMgCd

A relaxed structure of SrHoMgCd (PBE, the Alexandria database).

```
4
Lattice="0.000 3.916 3.916 3.916 0.000 3.916 3.916 3.916 0.000" Properties=species:S:1:pos:R:3 pbc="T T T"
Sr 0.000 0.000 0.000
Ho 3.916 3.916 3.916
Mg 5.874 5.874 5.874
Cd 1.958 1.958 1.958
```

Computed properties:
As for the space-group type: F-43m, No. 216. The value obtained for the energy of formation is -47 kJ/mol of formula units.

***

Record 16
# Sc5AgHg4

A relaxed structure of Sc5AgHg4 (PBE, the Alexandria database).

```
10
Lattice="3.513 0.000 0.000 0.000 3.513 0.000 0.000 0.000 17.415" Properties=species:S:1:pos:R:3 pbc="T T T"
Sc 0.000 0.000 0.000
Sc 0.000 0.000 3.522
Sc 0.000 0.000 7.038
Sc 0.000 0.000 10.376
Sc 0.000 0.000 13.892
Ag 1.757 1.757 8.707
Hg 1.757 1.757 1.765
Hg 1.757 1.757 5.281
Hg 1.757 1.757 12.133
Hg 1.757 1.757 15.649
```

Computed properties:
As for the space-group type: P4/mmm, No. 123. The value obtained for the energy of formation is -383 kJ/mol of formula units.

***

Record 17
# Al4SbMo

A relaxed structure of Al4SbMo (PBE, the Alexandria database).

```
6
Lattice="0.000 3.709 3.709 3.709 0.000 3.709 3.709 3.709 0.000" Properties=species:S:1:pos:R:3 pbc="T T T"
Al 0.915 0.915 0.915
Al 2.794 2.794 0.915
Al 2.794 0.915 2.794
Al 0.915 2.794 2.794
Sb 3.709 3.709 3.709
Mo 5.563 5.563 5.563
```

Computed properties:
As for the space-group type: F-43m, No. 216.

***

Record 18
# Tl2SnCl7

A relaxed structure of Tl2SnCl7 (PBE, the Alexandria database).

```
20
Lattice="5.918 -5.334 0.000 5.918 5.334 0.000 -2.620 0.000 10.516" Properties=species:S:1:pos:R:3 pbc="T T T"
Tl 1.352 1.486 1.762
Tl 0.042 -1.486 7.020
Tl 9.173 1.486 3.496
Tl 7.863 -1.486 8.754
Sn 5.263 3.093 2.629
Sn 3.953 -3.093 7.887
Cl 3.107 3.157 3.801
Cl -1.079 0.349 9.337
Cl 0.231 -0.349 4.079
Cl 4.419 1.478 0.998
Cl 3.953 2.110 7.887
Cl 7.418 3.157 1.457
Cl 6.106 1.478 4.260
Cl 3.109 -1.478 6.256
Cl 1.797 -3.157 9.059
Cl 5.263 -2.110 2.629
Cl 4.796 -1.478 9.518
Cl 8.985 0.349 6.437
Cl 10.295 -0.349 1.179
Cl 6.108 -3.157 6.715
```

Computed properties:
As for the space-group type: C2/c, No. 15.

***

Record 19
# Ca2HoMg

A relaxed structure of Ca2HoMg (PBE, the Alexandria database).

```
4
Lattice="0.000 4.053 4.053 4.053 0.000 4.053 4.053 4.053 0.000" Properties=species:S:1:pos:R:3 pbc="T T T"
Ca 2.026 2.026 2.026
Ca 6.079 6.079 6.079
Ho 0.000 0.000 0.000
Mg 4.053 4.053 4.053
```

Computed properties:
As for the space-group type: Fm-3m, No. 225. The calculation puts the relative energy among the computed polymorphs at 0.195 eV per formula unit. The value obtained for the energy of formation is 50 kJ/mol of formula units.

***

Record 20
# Zr2Nb2Hg

A relaxed structure of Zr2Nb2Hg (PBE, the Alexandria database).

```
10
Lattice="7.581 0.000 0.000 0.000 7.581 0.000 0.000 0.000 3.718" Properties=species:S:1:pos:R:3 pbc="T T T"
Zr 1.040 2.751 0.000
Zr 2.751 6.541 0.000
Zr 4.830 1.040 0.000
Zr 6.541 4.830 0.000
Nb 1.243 5.034 1.859
Nb 2.547 1.243 1.859
Nb 5.034 6.337 1.859
Nb 6.337 2.547 1.859
Hg 0.000 0.000 0.000
Hg 3.790 3.790 0.000
```

Computed properties:
As for the space-group type: P4/mbm, No. 127. The calculation puts the relative energy among the computed polymorphs at 0.995 eV per formula unit. The value obtained for the energy of formation is 163 kJ/mol of formula units.

***

How do the records compare in total energy? In the order shown, they have -11.5; -18.5; -24.2; -37.2; -32.2; -15.1; -19.4; -75.9; -89.0; -18.6; -58.0; -28.6; -13.5; -40.0; -9.3; -39.7; -29.1; -60.1; -9.7; -71.7 eV/cell.